DFT (PBE) results for a relaxed NiHgTeCl2 crystal.

Summary:
space group: No. 123
energy relative to the elements, uncorrected: 0.116 eV/atom
spin magnetization: 0.41 μB per formula unit
energy: -2.47 eV per atom

Cell lengths 5.4586, 4.8395, 5.4586 Å; angles 90.00, 90.00, 90.00 degrees
Closest atoms and distances in Å follow each position.
Atoms (fractional coordinates):
Ni (0.0000, 0.5000, 0.0000)  2 Te 2.42
Te (0.0000, 0.0000, 0.0000)  2 Ni 2.42
Hg (0.5000, 0.5000, 0.5000)  8 Cl 3.65, 4 Ni 3.86
Cl (0.0000, 0.0000, 0.5000)  2 Te 2.73
Cl (0.5000, 0.0000, 0.0000)  2 Te 2.73

---

DFT (PBE) results for a relaxed Cs2BaSe crystal.

Summary:
space group: No. 122
energy relative to the elements, uncorrected: -0.704 eV/atom
spin magnetization: 0.00 μB per formula unit
energy: -2.48 eV per atom

Cell lengths 13.4310, 13.4310, 10.0107 Å; angles 47.87, 47.87, 90.00 degrees
Closest atoms and distances in Å follow each position.
Atoms (fractional coordinates):
Cs (0.4789, 0.1250, 0.2500)  2 Se 3.72
Cs (0.2711, 0.6250, 0.2500)  2 Se 3.72
Cs (0.3750, 0.5211, 0.7500)  2 Se 3.72
Cs (0.8750, 0.7289, 0.7500)  2 Se 3.72
Ba (0.0000, 0.0000, 0.0000)  2 Se 3.17
Ba (0.7500, 0.2500, 0.5000)  2 Se 3.17
Se (0.5000, 0.5000, 0.0000)  2 Ba 3.17
Se (0.2500, 0.7500, 0.5000)  2 Ba 3.17

---

DFT (PBE) results for a relaxed Ce2Sc4Ge3H2 crystal.

Summary:
space group: No. 139
spin magnetization: 2.89 μB per formula unit
energy: -5.90 eV per atom

Cell lengths 4.3505, 4.3505, 11.7494 Å; angles 100.67, 100.67, 90.00 degrees
Closest atoms and distances in Å follow each position.
Atoms (fractional coordinates):
Ce (0.3024, 0.3024, 0.6047)  1 H 2.41
Ce (0.6976, 0.6976, 0.3953)  1 H 2.41
Sc (0.4224, 0.9224, 0.8447)  2 H 2.20
Sc (0.9224, 0.4224, 0.8447)  2 H 2.20
Sc (0.0776, 0.5776, 0.1553)  2 H 2.20
Sc (0.5776, 0.0776, 0.1553)  2 H 2.20
Ge (0.0000, 0.0000, 0.0000)  8 Sc 2.80
Ge (0.1644, 0.1644, 0.3289)  4 Sc 2.93, 5 Ce 3.13-3.17
Ge (0.8356, 0.8356, 0.6711)  4 Sc 2.93, 5 Ce 3.13-3.17
H (0.4087, 0.4087, 0.8174)  4 Sc 2.20, 1 Ce 2.41
H (0.5913, 0.5913, 0.1826)  4 Sc 2.20, 1 Ce 2.41

---

DFT (PBE) results for a relaxed CsRbAg crystal.

Summary:
space group: No. 216
DFT formation energy: 0.083 eV/atom
spin magnetization: 0.67 μB per formula unit
energy: -1.47 eV per atom

Cell lengths 6.3294, 6.3294, 6.3294 Å; angles 60.00, 60.00, 60.00 degrees
Closest atoms and distances in Å follow each position.
Atoms (fractional coordinates):
Cs (0.0000, 0.0000, 0.0000)  4 Ag 3.88
Ag (0.2500, 0.2500, 0.2500)  4 Rb 3.88, 4 Cs 3.88
Rb (0.5000, 0.5000, 0.5000)  4 Ag 3.88